# AcTmTe2O8 | Alexandria | PBE | relaxed
# Energy (Ha/atom): -0.2378
data_AcTmTe2O8
_chemical_formula_sum 'Ac2 Tm2 Te4 O16'
_symmetry_space_group_name_H-M 'I -4 m 2'
_symmetry_Int_Tables_number 119
_symmetry_space_group_name_Hall 'I -4 -2'
_cell_length_a 7.602
_cell_length_b 7.602
_cell_length_c 7.003
_cell_angle_alpha 90.00
_cell_angle_beta 90.00
_cell_angle_gamma 90.00
loop_
_atom_site_label
_atom_site_type_symbol
_atom_site_fract_x
_atom_site_fract_y
_atom_site_fract_z
Ac1 Ac 0.000 0.000 0.000
Tm1 Tm 0.000 0.500 0.750
Te1 Te 0.000 0.000 0.500
Te2 Te 0.000 0.500 0.250
O1 O 0.000 0.199 0.692
O2 O 0.000 0.326 0.059